Material: Cs2CaCu2Br7
Method: DFT, GGA-PBE
State: relaxed

Unit cell a=5.2785 b=5.2785 c=27.2331 alpha=90.00 beta=90.00 gamma=90.00
With the nearest neighbours (Å) after each atom.
Space group I4/mmm (No. 139)
Symmetry-distinct sites (fractional):
Cs: 0.0000 0.0000 0.1773 (multiplicity 4)  9 Br 3.73-3.77
Ca: 0.0000 0.0000 0.0000 (multiplicity 2)  12 Br 3.40-3.73
Cu: 0.0000 0.0000 0.4069 (multiplicity 4)  6 Br 2.52-2.67
Br: 0.0000 0.0000 0.3145 (multiplicity 4)  1 Cu 2.52
Br: 0.0000 0.0000 0.5000 (multiplicity 2)  2 Cu 2.53
Br: 0.0000 0.5000 0.0785 (multiplicity 8)  2 Cu 2.67

## Properties
Spin magnetization in μB per formula unit: 0.00
Formation energy without anion corrections in eV/atom: -1.13

=====

Material: V3ReCl
Method: DFT, GGA-PBE
State: relaxed

Unit cell a=4.1917 b=4.1917 c=4.1917 alpha=90.00 beta=90.00 gamma=90.00
With the nearest neighbours (Å) after each atom.
Space group Pm-3m (No. 221)
Symmetry-distinct sites (fractional):
V: 0.0000 0.0000 0.5000 (multiplicity 3)  2 Cl 2.10
Re: 0.5000 0.5000 0.5000 (multiplicity 1)  12 V 2.96
Cl: 0.0000 0.0000 0.0000 (multiplicity 1)  6 V 2.10

## Properties
Energy above the most stable polymorph in this dataset in meV/atom: 0
Spin magnetization in μB per formula unit: 0.05
Formation energy without anion corrections in eV/atom: 0.72

=====

Material: Na3Ga2Hg4
Method: DFT, GGA-PBE
State: relaxed

Unit cell a=10.9481 b=4.9360 c=9.2266 alpha=90.00 beta=121.50 gamma=90.00
With the nearest neighbours (Å) after each atom.
Space group C2/m (No. 12)
Symmetry-distinct sites (fractional):
Na: 0.0000 0.0000 0.0000 (multiplicity 2)  8 Hg 3.22-3.48, 2 Na 3.36, 4 Ga 3.38
Na: 0.1576 0.5000 0.6745 (multiplicity 4)  4 Ga 3.23-3.35, 8 Hg 3.25-3.35, 2 Na 3.27-3.36
Ga: 0.1228 0.5000 0.2939 (multiplicity 4)  4 Hg 2.80-3.03
Hg: 0.0750 0.0000 0.3986 (multiplicity 4)  3 Ga 2.80-3.03, 1 Hg 3.07
Hg: 0.2101 0.5000 0.0574 (multiplicity 4)  1 Ga 2.80, 2 Hg 2.99

## Properties
Energy of formation in eV/atom: -0.1853
Spin magnetization in μB per formula unit: 0.00

=====

Material: Th2ZrSc
Method: DFT, GGA-PBE
State: relaxed

Unit cell a=3.4539 b=3.4539 c=32.4001 alpha=90.00 beta=90.00 gamma=120.00
With the nearest neighbours (Å) after each atom.
Space group R-3m (No. 166, hexagonal axes)
Symmetry-distinct sites (fractional):
Th: 0.0000 0.0000 0.2502 (multiplicity 6)  3 Zr 3.35, 3 Sc 3.36, 6 Th 3.45
Zr: 0.0000 0.0000 0.0000 (multiplicity 3)  6 Th 3.35, 6 Zr 3.45
Sc: 0.0000 0.0000 0.5000 (multiplicity 3)  6 Th 3.36, 6 Sc 3.45

## Properties
Energy of formation in eV/atom: 0.1095
Energy above the most stable polymorph in this dataset in meV/atom: 39
Spin magnetization in μB per formula unit: 0.00

=====

Material: Li2Pm2ErIn2
Method: DFT, GGA-PBE
State: relaxed

Unit cell a=4.8672 b=4.8672 c=26.7934 alpha=90.00 beta=90.00 gamma=120.00
With the nearest neighbours (Å) after each atom.
Space group R-3m (No. 166, hexagonal axes)
Symmetry-distinct sites (fractional):
Li: 0.0000 0.0000 0.1100 (multiplicity 6)  3 In 2.83
Pm: 0.0000 0.0000 0.3732 (multiplicity 6)  3 In 3.23, 3 Li 3.38, 1 Er 3.40, 3 Pm 3.53
Er: 0.0000 0.0000 0.5000 (multiplicity 3)  6 Li 3.19, 6 In 3.34, 2 Pm 3.40
In: 0.0000 0.0000 0.2343 (multiplicity 6)  3 Li 2.83

## Properties
Energy of formation in eV/atom: -0.2326
Spin magnetization in μB per formula unit: 0.00

=====

Material: Gd2MgI
Method: DFT, GGA-PBE
State: relaxed

Unit cell a=3.6864 b=3.6864 c=8.6211 alpha=90.00 beta=90.00 gamma=90.00
With the nearest neighbours (Å) after each atom.
Space group P4/mmm (No. 123)
Symmetry-distinct sites (fractional):
Gd: 0.0000 0.0000 0.2444 (multiplicity 2)  4 Mg 3.35, 4 I 3.41, 4 Gd 3.69
Mg: 0.5000 0.5000 0.0000 (multiplicity 1)  8 Gd 3.35, 4 Mg 3.69
I: 0.5000 0.5000 0.5000 (multiplicity 1)  8 Gd 3.41, 4 I 3.69

## Properties
Energy above the most stable polymorph in this dataset in meV/atom: 0
Spin magnetization in μB per formula unit: 15.46
Formation energy without anion corrections in eV/atom: -0.35

=====

Material: PmHo3Tm2Bi6
Method: DFT, GGA-PBE
State: relaxed

Unit cell a=19.4871 b=4.4720 c=8.9446 alpha=90.00 beta=103.23 gamma=90.00
With the nearest neighbours (Å) after each atom.
Space group C2/m (No. 12)
Symmetry-distinct sites (fractional):
Pm: 0.0000 0.0000 0.0000 (multiplicity 2)  6 Bi 3.20-3.21
Ho: 0.0000 0.0000 0.5000 (multiplicity 2)  6 Bi 3.13-3.17
Ho: 0.1652 0.5000 0.8320 (multiplicity 4)  6 Bi 3.14-3.17
Tm: 0.1674 0.5000 0.3332 (multiplicity 4)  6 Bi 3.14-3.15
Bi: 0.0013 0.5000 0.2562 (multiplicity 4)  3 Ho 3.13-3.16, 1 Tm 3.15, 2 Pm 3.20
Bi: 0.1670 0.0000 0.5815 (multiplicity 4)  3 Tm 3.14-3.15, 3 Ho 3.17
Bi: 0.1692 0.0000 0.0857 (multiplicity 4)  3 Ho 3.14-3.17, 2 Tm 3.15, 1 Pm 3.21

## Properties
Energy of formation in eV/atom: -0.8324
Spin magnetization in μB per formula unit: 0.00

=====

Material: CaGa2Co2
Method: DFT, GGA-PBE
State: relaxed

Unit cell a=7.2640 b=7.2640 c=2.8013 alpha=90.00 beta=90.00 gamma=90.00
With the nearest neighbours (Å) after each atom.
Space group P4/mbm (No. 127)
Symmetry-distinct sites (fractional):
Ca: 0.0000 0.0000 0.0000 (multiplicity 2)  4 Co 2.79, 2 Ca 2.80, 8 Ga 3.11
Ga: 0.1483 0.3517 0.5000 (multiplicity 4)  6 Co 2.54-2.56, 2 Ga 2.80
Co: 0.1427 0.6427 0.0000 (multiplicity 4)  6 Ga 2.54-2.56, 2 Ca 2.79, 2 Co 2.80

## Properties
Energy of formation in eV/atom: -0.1874
Spin magnetization in μB per formula unit: 0.00

=====

Material: PmPrY2As4
Method: DFT, GGA-PBE
State: relaxed

Unit cell a=7.2679 b=4.2028 c=7.2753 alpha=90.00 beta=109.49 gamma=90.00
With the nearest neighbours (Å) after each atom.
Space group P2/m (No. 10)
Symmetry-distinct sites (fractional):
Pm: 0.0000 0.0000 0.0000 (multiplicity 1)  6 As 3.00
Pr: 0.0000 0.5000 0.5000 (multiplicity 1)  6 As 3.01
Y: 0.5000 0.0000 0.5000 (multiplicity 1)  6 As 2.94
Y: 0.5000 0.5000 0.0000 (multiplicity 1)  6 As 2.93
As: 0.2580 0.5000 0.2509 (multiplicity 2)  3 Y 2.93-2.94, 2 Pm 3.00, 1 Pr 3.01
As: 0.2593 0.0000 0.7550 (multiplicity 2)  3 Y 2.93-2.94, 1 Pm 3.00, 2 Pr 3.01

## Properties
Energy of formation in eV/atom: -1.5301
Spin magnetization in μB per formula unit: 0.00

=====

Material: Y2CdSe
Method: DFT, GGA-PBE
State: relaxed

Unit cell a=7.9626 b=7.9626 c=7.0181 alpha=90.00 beta=90.00 gamma=90.00
With the nearest neighbours (Å) after each atom.
Space group I-42d (No. 122)
Symmetry-distinct sites (fractional):
Y: 0.2229 0.2500 0.1250 (multiplicity 8)  2 Se 2.81, 2 Cd 3.10
Cd: 0.0000 0.0000 0.5000 (multiplicity 4)  4 Y 3.10
Se: 0.0000 0.0000 0.0000 (multiplicity 4)  4 Y 2.81

## Properties
Energy above the most stable polymorph in this dataset in meV/atom: 373
Spin magnetization in μB per formula unit: 0.97
Formation energy without anion corrections in eV/atom: -0.66

=====

Material: TmThS2
Method: DFT, GGA-PBE
State: relaxed

Unit cell a=3.8588 b=3.8588 c=20.1941 alpha=90.00 beta=90.00 gamma=120.00
With the nearest neighbours (Å) after each atom.
Space group R-3m (No. 166, hexagonal axes)
Symmetry-distinct sites (fractional):
Tm: 0.0000 0.0000 0.0000 (multiplicity 3)  6 S 2.70
Th: 0.0000 0.0000 0.5000 (multiplicity 3)  6 S 2.89
S: 0.0000 0.0000 0.2574 (multiplicity 6)  3 Tm 2.70, 3 Th 2.89

## Properties
Energy above the most stable polymorph in this dataset in meV/atom: 0
Spin magnetization in μB per formula unit: 0.00
Formation energy without anion corrections in eV/atom: -1.88

=====

Material: Tb2Ge3
Method: DFT, GGA-PBE
State: relaxed

Unit cell a=4.1011 b=6.3992 c=8.4343 alpha=90.00 beta=90.00 gamma=90.00
With the nearest neighbours (Å) after each atom.
Space group Immm (No. 71)
Symmetry-distinct sites (fractional):
Tb: 0.0000 0.0000 0.2249 (multiplicity 4)  8 Ge 3.01-3.10
Ge: 0.0000 0.3003 0.5000 (multiplicity 4)  3 Ge 2.56-2.81
Ge: 0.0000 0.5000 0.0000 (multiplicity 2)  4 Ge 2.81, 4 Tb 3.10

## Properties
Energy of formation in eV/atom: -0.7470
Energy above the most stable polymorph in this dataset in meV/atom: 0
Spin magnetization in μB per formula unit: 0.00

=====

Number 1: calculated total energy -3.10 eV/atom. Number 2: calculated total energy -7.61 eV/atom. Number 3: calculated total energy -1.43 eV/atom. Number 4: calculated total energy -7.32 eV/atom. Number 5: calculated total energy -3.57 eV/atom. Number 6: calculated total energy -8.18 eV/atom. Number 7: calculated total energy -5.06 eV/atom. Number 8: calculated total energy -4.64 eV/atom. Number 9: calculated total energy -6.66 eV/atom. Number 10: calculated total energy -5.00 eV/atom. Number 11: calculated total energy -6.92 eV/atom. Number 12: calculated total energy -5.37 eV/atom.